Cs2TmSnBr6 | GGA-PBE | relaxed

Structure (CIF):
```
data_Cs2TmSnBr6
_cell_length_a 7.856
_cell_length_b 11.418
_cell_length_c 9.364
_cell_angle_alpha 90.00
_cell_angle_beta 90.00
_cell_angle_gamma 90.00
_space_group_name_H-M_alt 'P 1'
_space_group_IT_number 1
_space_group_name_Hall 'P 1'
loop_
_atom_site_label
_atom_site_fract_x
_atom_site_fract_y
_atom_site_fract_z
Cs1 0.250 0.006 0.210
Cs2 0.250 0.494 0.210
Cs3 0.750 0.506 0.790
Cs4 0.750 0.994 0.790
Tm1 0.250 0.750 0.770
Tm2 0.750 0.250 0.230
Sn1 0.250 0.250 0.722
Sn2 0.750 0.750 0.278
Br1 0.004 0.250 0.431
Br2 0.005 0.750 0.986
Br3 0.250 0.506 0.782
Br4 0.250 0.994 0.782
Br5 0.495 0.750 0.986
Br6 0.496 0.250 0.431
Br7 0.504 0.750 0.569
Br8 0.505 0.250 0.014
Br9 0.750 0.006 0.218
Br10 0.750 0.494 0.218
Br11 0.995 0.250 0.014
Br12 0.996 0.750 0.569
```

Computed properties:
Total magnetization = 0.101 μB per atom
Raw formation energy = -1.459 eV/atom
Fermi-level density of states = 0.09 states/eV/atom
Calculated volume = 840 Å³/cell
Calculated total energy = -3.48 eV per atom